1.
VASP calculation (PBE) on an optimized crystal structure of Co.

## Properties
formation energy from the elements: 0.234 eV per atom
ρ: 9.28 g cm⁻³
calculated volume: 10.55 A^3/atom
energy above the most stable polymorph in this dataset: 234 meV per atom

Cell: 2.5103 2.5103 5.7971 Å, 90.00 90.00 120.00°
Last column: nearest neighbours and their distance in Å.
Space group R-3m (No. 166, hexagonal axes)
One atom of each set of equivalent atoms:
Co 0.0000 0.0000 0.0000 [3 per cell]  12 Co 2.42-2.51

2.
VASP calculation (PBE) on an optimized crystal structure of PrBe13.

## Properties
VASP energy: -0.14617 hartree per atom
ρ: 3.11 g cm⁻³
calculated volume: 9.85 A^3/atom

Cell: 10.3328 10.3328 10.3328 Å, 90.00 90.00 90.00°
Last column: nearest neighbours and their distance in Å.
Space group Fm-3c (No. 226)
One atom of each set of equivalent atoms:
Pr 0.2500 0.2500 0.2500 [8 per cell]  24 Be 3.05
Be 0.0000 0.0000 0.0000 [8 per cell]  12 Be 2.15
Be 0.0000 0.1123 0.1756 [96 per cell]  10 Be 2.15-2.32

3.
VASP calculation (PBE) on an optimized crystal structure of Co3Ir.

## Properties
formation energy from the elements: 0.169 eV per atom
ρ: 12.66 g cm⁻³
calculated volume: 12.10 A^3/atom

Cell: 5.7851 5.7851 5.7851 Å, 90.00 90.00 90.00°
Last column: nearest neighbours and their distance in Å.
Space group Fm-3m (No. 225)
One atom of each set of equivalent atoms:
Co 0.0000 0.0000 0.0000 [4 per cell]  8 Co 2.51
Co 0.2500 0.2500 0.2500 [8 per cell]  4 Co 2.51, 4 Ir 2.51
Ir 0.0000 0.0000 0.5000 [4 per cell]  8 Co 2.51

4.
VASP calculation (PBE) on an optimized crystal structure of HfCdOs.

## Properties
formation energy from the elements: 0.568 eV per atom
ρ: 12.30 g cm⁻³
calculated volume: 21.64 A^3/atom
energy above the most stable polymorph in this dataset: 363 meV per atom

Cell: 6.3802 6.3802 6.3802 Å, 90.00 90.00 90.00°
Last column: nearest neighbours and their distance in Å.
Space group F-43m (No. 216)
One atom of each set of equivalent atoms:
Hf 0.0000 0.0000 0.0000 [4 per cell]  4 Cd 2.76, 4 Os 2.76
Cd 0.2500 0.2500 0.7500 [4 per cell]  4 Hf 2.76
Os 0.2500 0.2500 0.2500 [4 per cell]  4 Hf 2.76

5.
VASP calculation (PBE) on an optimized crystal structure of RbSiMo.

## Properties
ρ: 3.55 g cm⁻³
calculated volume: 32.70 A^3/atom
energy above the most stable polymorph in this dataset: 769 meV per atom

Cell: 7.3211 7.3211 7.3211 Å, 90.00 90.00 90.00°
Last column: nearest neighbours and their distance in Å.
Space group F-43m (No. 216)
One atom of each set of equivalent atoms:
Rb 0.0000 0.0000 0.0000 [4 per cell]  4 Mo 3.17, 4 Si 3.17
Si 0.2500 0.2500 0.2500 [4 per cell]  4 Rb 3.17
Mo 0.2500 0.2500 0.7500 [4 per cell]  4 Rb 3.17

6.
VASP calculation (PBE) on an optimized crystal structure of TaInW.

## Properties
ρ: 11.98 g cm⁻³
calculated volume: 22.17 A^3/atom
energy above the most stable polymorph in this dataset: 0 meV per atom

Cell: 6.4314 6.4314 6.4314 Å, 90.00 90.00 90.00°
Last column: nearest neighbours and their distance in Å.
Space group F-43m (No. 216)
One atom of each set of equivalent atoms:
Ta 0.0000 0.0000 0.0000 [4 per cell]  4 W 2.78
In 0.0000 0.0000 0.5000 [4 per cell]  4 W 2.78
W 0.2500 0.2500 0.7500 [4 per cell]  4 Ta 2.78, 4 In 2.78

7.
VASP calculation (PBE) on an optimized crystal structure of KRbBiAu.

## Properties
ρ: 5.66 g cm⁻³
calculated volume: 38.92 A^3/atom
energy above the most stable polymorph in this dataset: 2 meV per atom

Cell: 7.0311 7.9985 11.0724 Å, 90.00 90.00 90.00°
Last column: nearest neighbours and their distance in Å.
Space group Ama2 (No. 40)
One atom of each set of equivalent atoms:
K 0.2500 0.1785 0.0000 [4 per cell]  2 Au 3.59, 4 Bi 3.71-4.02, 1 Rb 3.76
Rb 0.2500 0.1791 0.6604 [4 per cell]  2 Au 3.68, 4 Bi 3.74-4.00, 3 K 3.76-4.10
Bi 0.2500 0.2687 0.3290 [4 per cell]  2 Au 2.78
Au 0.0000 0.0000 0.3380 [4 per cell]  2 Bi 2.78

8.
VASP calculation (PBE) on an optimized crystal structure of KHoCd.

## Properties
ρ: 4.78 g cm⁻³
calculated volume: 36.67 A^3/atom
energy above the most stable polymorph in this dataset: 0 meV per atom

Cell: 7.6064 7.6064 7.6064 Å, 90.00 90.00 90.00°
Last column: nearest neighbours and their distance in Å.
Space group F-43m (No. 216)
One atom of each set of equivalent atoms:
K 0.0000 0.0000 0.0000 [4 per cell]  4 Ho 3.29
Ho 0.2500 0.2500 0.7500 [4 per cell]  4 Cd 3.29, 4 K 3.29
Cd 0.0000 0.0000 0.5000 [4 per cell]  4 Ho 3.29

9.
VASP calculation (PBE) on an optimized crystal structure of Fe3PCl3.

## Properties
VASP energy: -0.19209 hartree per atom
ρ: 4.00 g cm⁻³
calculated volume: 18.07 A^3/atom

Cell: 7.1668 7.1668 5.6877 Å, 90.00 90.00 120.00°
Last column: nearest neighbours and their distance in Å.
Space group P-3m1 (No. 164)
One atom of each set of equivalent atoms:
Fe 0.0000 0.0000 0.0000 [1 per cell]  6 Cl 2.42
Fe 0.0000 0.5000 0.5000 [3 per cell]  2 P 2.37, 4 Cl 2.55
Fe 0.3333 0.6667 0.8948 [2 per cell]  1 P 2.28, 3 Cl 2.34
P 0.3333 0.6667 0.2956 [2 per cell]  4 Fe 2.28-2.37
Cl 0.1575 0.3149 0.7484 [6 per cell]  4 Fe 2.34-2.55

10.
VASP calculation (PBE) on an optimized crystal structure of NiSnHgMo.

## Properties
ρ: 11.37 g cm⁻³
calculated volume: 17.31 A^3/atom
energy above the most stable polymorph in this dataset: 0 meV per atom

Cell: 6.5182 6.5182 6.5182 Å, 90.00 90.00 90.00°
Last column: nearest neighbours and their distance in Å.
Space group F-43m (No. 216)
One atom of each set of equivalent atoms:
Ni 0.0000 0.0000 0.0000 [4 per cell]  4 Hg 2.82, 4 Sn 2.82
Sn 0.2500 0.2500 0.7500 [4 per cell]  4 Mo 2.82, 4 Ni 2.82
Hg 0.2500 0.2500 0.2500 [4 per cell]  4 Mo 2.82, 4 Ni 2.82
Mo 0.0000 0.0000 0.5000 [4 per cell]  4 Sn 2.82, 4 Hg 2.82

11.
VASP calculation (PBE) on an optimized crystal structure of Dy2Y2ErLu2Ni2Te2.

## Properties
ρ: 8.20 g cm⁻³
calculated volume: 25.64 A^3/atom
energy above the most stable polymorph in this dataset: 13 meV per atom

Cell: 3.8271 15.4925 9.5144 Å, 90.00 90.00 90.00°
Last column: nearest neighbours and their distance in Å.
Space group Imm2 (No. 44)
One atom of each set of equivalent atoms:
Dy 0.0000 0.1845 0.0000 [4 per cell]  2 Ni 2.77
Y 0.0000 0.1463 0.6486 [4 per cell]  2 Ni 2.84, 2 Te 3.13
Er 0.0000 0.5000 0.3805 [2 per cell]  3 Te 3.16-3.20
Lu 0.0000 0.3680 0.7982 [4 per cell]  2 Ni 2.77
Ni 0.0000 0.2608 0.3086 [4 per cell]  2 Lu 2.77, 2 Dy 2.77, 2 Y 2.84
Te 0.0000 0.0000 0.1454 [2 per cell]  4 Lu 3.16, 2 Er 3.16, 2 Dy 3.18
Te 0.0000 0.5000 0.0436 [2 per cell]  2 Lu 3.10, 4 Y 3.13, 1 Er 3.20

12.
VASP calculation (PBE) on an optimized crystal structure of Tl2AgS4.

## Properties
VASP energy: -0.12501 hartree per atom
ρ: 6.22 g cm⁻³
calculated volume: 24.58 A^3/atom

Cell: 11.1245 11.1245 11.1245 Å, 90.00 90.00 90.00°
Last column: nearest neighbours and their distance in Å.
Space group Fd-3m (No. 227, origin choice 2)
One atom of each set of equivalent atoms:
Tl 0.0000 0.0000 0.0000 [16 per cell]  6 S 2.73
Ag 0.1250 0.1250 0.6250 [8 per cell]  4 S 2.51
S 0.0050 0.0050 0.2450 [32 per cell]  1 Ag 2.51, 3 Tl 2.73

13.
VASP calculation (PBE) on an optimized crystal structure of NdDyAsO.

## Properties
ρ: 6.57 g cm⁻³
calculated volume: 25.12 A^3/atom
energy above the most stable polymorph in this dataset: 0 meV per atom

Cell: 4.3269 7.5849 6.1230 Å, 90.00 90.00 90.00°
Last column: nearest neighbours and their distance in Å.
Space group Pmc2_1 (No. 26)
One atom of each set of equivalent atoms:
Nd 0.0000 0.2027 0.0000 [2 per cell]  2 O 2.42
Dy 0.5000 0.3931 0.5836 [2 per cell]  2 O 2.22-2.23
As 0.0000 0.1798 0.4911 [2 per cell]  2 Dy 2.76, 2 Nd 2.90-3.01
O 0.5000 0.3366 0.9387 [2 per cell]  2 Dy 2.22-2.23, 2 Nd 2.42

14.
VASP calculation (PBE) on an optimized crystal structure of CsRbTe2Pt.

## Properties
VASP energy: -0.13397 hartree per atom
ρ: 5.96 g cm⁻³
calculated volume: 37.28 A^3/atom

Cell: 4.0763 8.2402 11.0998 Å, 90.00 90.00 90.00°
Last column: nearest neighbours and their distance in Å.
Space group Imm2 (No. 44)
One atom of each set of equivalent atoms:
Cs 0.0000 0.0000 0.0000 [2 per cell]  6 Te 3.77-3.84, 2 Pt 3.91, 2 Cs 4.08
Rb 0.0000 0.0000 0.5956 [2 per cell]  6 Te 3.70-3.88, 2 Pt 3.85, 2 Rb 4.08
Te 0.0000 0.2109 0.3009 [4 per cell]  2 Pt 2.68
Pt 0.0000 0.5000 0.8010 [2 per cell]  4 Te 2.68

15.
VASP calculation (PBE) on an optimized crystal structure of CdAsSe.

## Properties
VASP energy: -0.10545 hartree per atom
ρ: 5.79 g cm⁻³
calculated volume: 25.46 A^3/atom

Cell: 3.6974 3.6974 22.3486 Å, 90.00 90.00 90.00°
Last column: nearest neighbours and their distance in Å.
Space group I4/mmm (No. 139)
One atom of each set of equivalent atoms:
Cd 0.0000 0.0000 0.0603 [4 per cell]  1 Cd 2.69, 1 Se 2.74
As 0.0000 0.0000 0.3518 [4 per cell]  4 Se 2.73
Se 0.0000 0.0000 0.1829 [4 per cell]  4 As 2.73, 1 Cd 2.74

16.
VASP calculation (PBE) on an optimized crystal structure of Sc4AlCdN2.

## Properties
VASP energy: -0.25417 hartree per atom
ρ: 4.36 g cm⁻³
calculated volume: 16.54 A^3/atom

Cell: 3.2140 3.2140 14.7943 Å, 90.00 90.00 120.00°
Last column: nearest neighbours and their distance in Å.
Space group P-6m2 (No. 187)
One atom of each set of equivalent atoms:
Sc 0.0000 0.0000 0.1615 [2 per cell]  3 N 2.23
Sc 0.3333 0.6667 0.3274 [2 per cell]  3 N 2.22
Al 0.3333 0.6667 0.0000 [1 per cell]  6 Sc 3.03, 6 Al 3.21
Cd 0.0000 0.0000 0.5000 [1 per cell]  6 Sc 3.16, 6 Cd 3.21
N 0.6667 0.3333 0.2451 [2 per cell]  6 Sc 2.22-2.23

17.
VASP calculation (PBE) on an optimized crystal structure of Nd2GdCd4Hg2.

## Properties
formation energy from the elements: -0.390 eV per atom
ρ: 9.33 g cm⁻³
calculated volume: 25.63 A^3/atom

Cell: 4.6263 13.1098 7.6077 Å, 90.00 90.00 90.00°
Last column: nearest neighbours and their distance in Å.
Space group Amm2 (No. 38)
One atom of each set of equivalent atoms:
Nd 0.0000 0.2121 0.0000 [4 per cell]  5 Cd 3.24-3.62, 4 Hg 3.25
Gd 0.0000 0.0000 0.3604 [2 per cell]  3 Cd 3.20-3.45, 4 Hg 3.21
Cd 0.0000 0.0000 0.7813 [2 per cell]  6 Cd 2.93-2.96, 1 Gd 3.20, 2 Nd 3.24
Cd 0.5000 0.0000 0.0246 [2 per cell]  2 Hg 2.94, 4 Cd 2.96-3.15
Cd 0.5000 0.1200 0.6664 [4 per cell]  4 Cd 2.93-3.15, 2 Hg 2.94-2.98
Hg 0.5000 0.1643 0.2880 [4 per cell]  3 Cd 2.94-2.98, 2 Gd 3.21, 4 Nd 3.25

18.
VASP calculation (PBE) on an optimized crystal structure of Pt5O.

## Properties
VASP energy: -0.18871 hartree per atom
ρ: 15.82 g cm⁻³
calculated volume: 17.34 A^3/atom

Cell: 5.1784 5.1784 4.4806 Å, 90.00 90.00 120.00°
Last column: nearest neighbours and their distance in Å.
Space group P6/mmm (No. 191)
One atom of each set of equivalent atoms:
Pt 0.0000 0.5000 0.0000 [3 per cell]  8 Pt 2.59-2.69
Pt 0.3333 0.6667 0.5000 [2 per cell]  9 Pt 2.69-2.99, 3 O 2.99
O 0.0000 0.0000 0.5000 [1 per cell]  6 Pt 2.99

19.
VASP calculation (PBE) on an optimized crystal structure of Ba2BiSbAu2.

## Properties
VASP energy: -0.14523 hartree per atom
ρ: 8.48 g cm⁻³
calculated volume: 32.61 A^3/atom

Cell: 4.8998 4.8998 9.4092 Å, 90.00 90.00 120.00°
Last column: nearest neighbours and their distance in Å.
Space group P3m1 (No. 156)
One atom of each set of equivalent atoms:
Ba 0.0000 0.0000 0.0000 [1 per cell]  3 Sb 3.65, 6 Au 3.67-3.68, 3 Bi 3.71
Ba 0.0000 0.0000 0.4930 [1 per cell]  6 Au 3.64-3.72, 3 Sb 3.66, 3 Bi 3.69
Bi 0.3333 0.6667 0.7450 [1 per cell]  3 Au 2.83
Sb 0.6667 0.3333 0.2454 [1 per cell]  3 Au 2.83
Au 0.3333 0.6667 0.2489 [1 per cell]  3 Sb 2.83
Au 0.6667 0.3333 0.7493 [1 per cell]  3 Bi 2.83

20.
VASP calculation (PBE) on an optimized crystal structure of ErZrAsO.

## Properties
ρ: 7.32 g cm⁻³
calculated volume: 19.82 A^3/atom
energy above the most stable polymorph in this dataset: 198 meV per atom

Cell: 5.0773 4.1490 7.5275 Å, 90.00 90.00 90.00°
Last column: nearest neighbours and their distance in Å.
Space group Pmma (No. 51)
One atom of each set of equivalent atoms:
Er 0.2500 0.0000 0.1438 [2 per cell]  3 O 2.27-2.54
Zr 0.2500 0.5000 0.7593 [2 per cell]  2 O 2.17
As 0.2500 0.5000 0.3885 [2 per cell]  3 Zr 2.77-2.79, 2 Er 2.77, 2 As 3.04
O 0.2500 0.0000 0.8424 [2 per cell]  2 Zr 2.17, 1 Er 2.27